1.
VASP calculation (PBE) on an optimized crystal structure of NaCd5.

POSCAR file:
```
NaCd5
1.0
2.7060 -4.7527 0.0000
2.7060 4.7527 0.0000
0.0000 0.0000 5.4221
Na Cd
1 5
direct
0.0000 0.0000 0.0000
0.1695 0.8305 0.5000
0.3335 0.6665 0.0000
0.5000 0.5000 0.5000
0.6665 0.3335 0.0000
0.8305 0.1695 0.5000
```

Output
D(E_F) = 2.0 states/eV/f.u.
Energy relative to the lowest polymorph listed for this composition = 11.2 meV per atom
Calculated total energy = -1.0155 eV/atom

=====

2.
VASP calculation (PBE) on an optimized crystal structure of Na5Cd4.

POSCAR file:
```
Na5Cd4
1.0
4.4748 -2.6654 0.0000
4.4748 2.6654 0.0000
-0.3857 0.0000 9.8296
Na Cd
5 4
direct
0.0000 0.0000 0.0000
0.3329 0.3329 0.8786
0.3336 0.3336 0.5550
0.6664 0.6664 0.4450
0.6671 0.6671 0.1214
0.0013 0.0013 0.6692
0.3321 0.3321 0.2305
0.6679 0.6679 0.7695
0.9987 0.9987 0.3308
```

Output
D(E_F) = 4.6 states/eV/f.u.
Energy relative to the lowest polymorph listed for this composition = 0.0 meV per atom
Calculated total energy = -1.2167 eV/atom

=====

3.
VASP calculation (PBE) on an optimized crystal structure of Na7Cd3.

POSCAR file:
```
Na7Cd3
1.0
8.6318 -2.5040 0.0000
8.6318 2.5040 0.0000
-0.8793 0.0000 6.7419
Na Cd
7 3
direct
0.0000 0.0000 0.0000
0.1964 0.1964 0.5947
0.3937 0.3937 0.7248
0.4007 0.4007 0.2190
0.5993 0.5993 0.7810
0.6063 0.6063 0.2752
0.8036 0.8036 0.4053
0.0000 0.0000 0.5000
0.2121 0.2121 0.0793
0.7879 0.7879 0.9207
```

Output
D(E_F) = 4.0 states/eV/f.u.
Energy relative to the lowest polymorph listed for this composition = 0.0 meV per atom
Calculated total energy = -1.2434 eV/atom

=====

4.
VASP calculation (PBE) on an optimized crystal structure of Na3Cd5.

POSCAR file:
```
Na3Cd5
1.0
-2.3599 2.3599 8.7935
2.3599 -2.3599 8.7935
2.3599 2.3599 -8.7935
Na Cd
3 5
direct
0.0000 0.0000 0.0000
0.6281 0.1281 0.5000
0.8719 0.3719 0.5000
0.1293 0.6293 0.5000
0.2475 0.2475 0.0000
0.3707 0.8707 0.5000
0.5000 0.5000 0.0000
0.7525 0.7525 0.0000
```

Output
D(E_F) = 2.3 states/eV/f.u.
Energy relative to the lowest polymorph listed for this composition = 0.0 meV per atom
Calculated total energy = -1.1439 eV/atom

=====

Which of these has the highest calculated total energy?
NaCd5